(1)
Material: CsBaLi
Method: DFT, PBE
State: relaxed

abc: 4.514 6.787 6.787
angles: 120.00 90.00 90.00
Atoms (fractional coordinates):
Cs 0.068 0.000 0.000
Ba 0.644 0.667 0.333
Li 0.287 0.333 0.667

Computed properties:
energy relative to the lowest polymorph listed for this composition: 16.23 kJ/mol of atoms


(2)
Material: Be2InIr
Method: DFT, PBE
State: relaxed

abc: 4.701 4.948 2.929
angles: 72.28 91.00 118.70
Atoms (fractional coordinates):
Be 0.000 0.000 0.000
Be 0.500 0.000 0.500
Ir 0.500 0.500 0.000
In 0.000 0.500 0.500


Computed energy of formation (meV per atom) in order:
267, 243
Computed M_tot (μB/f.u.) in order:
0.00, 0.00